Here is a geometry-optimized Zn2ReTc structure from Alexandria via LeMat-Bulk. Energies are from PBEsol.

Lattice parameters (Å, degrees): 2.921 2.921 6.611 90.00 90.00 90.00
Sites, in units of the cell vectors:
Zn 0.000 0.000 0.002
Zn 0.500 0.500 0.245
Tc 0.500 0.500 0.738
Re 0.000 0.000 0.515

Results
N(E_F), states/eV per cell: 1.551
Space group: P4mm (99)
E above lowest polymorph, eV/atom: 0.000
M_tot, μB per cell: 0.000
Crystal system: tetragonal
ΔH_f (0 K), eV/atom: 0.023

***

Here is a geometry-optimized ZnRe3Tc structure from Alexandria via LeMat-Bulk. Energies are from PBEsol.

Lattice parameters (Å, degrees): 4.606 4.606 4.606 90.00 90.00 90.00
Sites, in units of the cell vectors:
Re 0.000 0.500 0.000
Zn 0.500 0.500 0.500
Tc 0.000 0.000 0.000
Re 0.000 0.000 0.500
Re 0.500 0.000 0.000

Results
N(E_F), states/eV per cell: 6.396
Space group: Pm-3m (221)
M_tot, μB per cell: 0.006
Crystal system: cubic
ΔH_f (0 K), eV/atom: 2.266

***

Here is a geometry-optimized Zn2ReTc structure from Alexandria via LeMat-Bulk. Energies are from PBEsol.

Lattice parameters (Å, degrees): 4.244 4.244 4.244 60.00 60.00 60.00
Sites, in units of the cell vectors:
Zn 0.750 0.750 0.750
Zn 0.250 0.250 0.250
Tc 0.500 0.500 0.500
Re 0.000 0.000 0.000

Results
N(E_F), states/eV per cell: 3.198
Space group: Fm-3m (225)
E above lowest polymorph, eV/atom: 0.429
M_tot, μB per cell: 0.000
Crystal system: cubic
ΔH_f (0 K), eV/atom: 0.452

***

Here is a geometry-optimized ZnReTc2 structure from Alexandria via LeMat-Bulk. Energies are from PBEsol.

Lattice parameters (Å, degrees): 2.733 4.691 4.718 112.35 90.00 90.00
Sites, in units of the cell vectors:
Zn 0.500 0.500 0.000
Tc 0.000 0.000 0.000
Re 0.000 0.500 0.500
Tc 0.500 0.000 0.500

Results
N(E_F), states/eV per cell: 3.856
Space group: P2/m (10)
M_tot, μB per cell: 0.000
Crystal system: monoclinic
ΔH_f (0 K), eV/atom: 0.251

***

Here is a geometry-optimized ZnReTc structure from Alexandria via LeMat-Bulk. Energies are from PBEsol.

Lattice parameters (Å, degrees): 2.742 2.742 6.549 90.00 90.00 120.00
Sites, in units of the cell vectors:
Tc 0.333 0.667 0.676
Re 0.000 0.000 0.989
Zn 0.667 0.333 0.335

Results
N(E_F), states/eV per cell: 1.382
Space group: P3m1 (156)
E above lowest polymorph, eV/atom: 0.000
M_tot, μB per cell: 0.000
Crystal system: trigonal
ΔH_f (0 K), eV/atom: 0.029

***

Here is a geometry-optimized Zn2ReTc structure from Alexandria via LeMat-Bulk. Energies are from PBEsol.

Lattice parameters (Å, degrees): 2.707 4.577 4.737 96.93 90.00 107.20
Sites, in units of the cell vectors:
Zn 0.248 0.497 0.770
Tc 0.750 0.501 0.272
Re 0.500 0.999 0.478
Zn 0.002 0.003 0.980

Results
N(E_F), states/eV per cell: 2.512
Space group: Cm (8)
E above lowest polymorph, eV/atom: 0.137
M_tot, μB per cell: 0.000
Crystal system: monoclinic
ΔH_f (0 K), eV/atom: 0.160

***

Here is a geometry-optimized Zn2ReTc structure from Alexandria via LeMat-Bulk. Energies are from PBEsol.

Lattice parameters (Å, degrees): 2.602 4.322 5.060 90.00 101.58 90.00
Sites, in units of the cell vectors:
Tc 0.000 0.500 0.500
Zn 0.754 0.000 0.749
Re 0.500 0.500 0.000
Zn 0.246 0.000 0.251

Results
N(E_F), states/eV per cell: 2.623
Space group: P2/m (10)
E above lowest polymorph, eV/atom: 0.204
M_tot, μB per cell: 0.000
Crystal system: monoclinic
ΔH_f (0 K), eV/atom: 0.227

***

Here is a geometry-optimized ZnReTc2 structure from Alexandria via LeMat-Bulk. Energies are from PBEsol.

Lattice parameters (Å, degrees): 2.763 2.763 7.341 90.00 90.00 90.00
Sites, in units of the cell vectors:
Zn 0.500 0.500 0.000
Tc 0.000 0.000 0.749
Tc 0.000 0.000 0.251
Re 0.500 0.500 0.500

Results
N(E_F), states/eV per cell: 3.009
Space group: P4/mmm (123)
M_tot, μB per cell: 0.000
Crystal system: tetragonal
ΔH_f (0 K), eV/atom: 0.084

***

Here is a geometry-optimized ZnReTc2 structure from Alexandria via LeMat-Bulk. Energies are from PBEsol.

Lattice parameters (Å, degrees): 2.762 4.565 4.788 102.61 106.76 90.00
Sites, in units of the cell vectors:
Tc 0.001 0.999 0.002
Zn 0.500 0.498 0.999
Tc 0.742 0.240 0.485
Re 0.257 0.764 0.514

Results
N(E_F), states/eV per cell: 2.955
Space group: Cm (8)
M_tot, μB per cell: 0.000
Crystal system: monoclinic
ΔH_f (0 K), eV/atom: 0.168

***

Here is a geometry-optimized Zn2ReTc structure from Alexandria via LeMat-Bulk. Energies are from PBEsol.

Lattice parameters (Å, degrees): 2.735 2.735 8.923 81.18 81.18 60.00
Sites, in units of the cell vectors:
Re 0.503 0.503 0.491
Tc 0.248 0.248 0.257
Zn 0.999 0.999 0.004
Zn 0.751 0.751 0.748

Results
N(E_F), states/eV per cell: 1.628
Space group: R3m (160)
E above lowest polymorph, eV/atom: 0.001
M_tot, μB per cell: 0.000
Crystal system: trigonal
ΔH_f (0 K), eV/atom: 0.024

***

Here is a geometry-optimized Zn2ReTc structure from Alexandria via LeMat-Bulk. Energies are from PBEsol.

Lattice parameters (Å, degrees): 3.041 4.228 4.334 90.00 90.00 90.00
Sites, in units of the cell vectors:
Re 0.500 0.000 0.500
Zn 0.000 0.000 0.000
Tc 0.000 0.500 0.500
Zn 0.500 0.500 0.000

Results
N(E_F), states/eV per cell: 2.542
Space group: Pmmm (47)
E above lowest polymorph, eV/atom: 0.207
M_tot, μB per cell: 0.000
Crystal system: orthorhombic
ΔH_f (0 K), eV/atom: 0.230

***

Here is a geometry-optimized ZnReTc2 structure from Alexandria via LeMat-Bulk. Energies are from PBEsol.

Lattice parameters (Å, degrees): 3.050 3.050 5.994 90.00 90.00 90.00
Sites, in units of the cell vectors:
Tc 0.000 0.000 0.754
Tc 0.000 0.000 0.246
Re 0.500 0.500 0.500
Zn 0.500 0.500 0.000

Results
N(E_F), states/eV per cell: 3.648
Space group: P4/mmm (123)
M_tot, μB per cell: 0.001
Crystal system: tetragonal
ΔH_f (0 K), eV/atom: 0.139

***

Here is a geometry-optimized ZrZnReTc2 structure from Alexandria via LeMat-Bulk. Energies are from PBEsol.

Lattice parameters (Å, degrees): 4.609 4.609 4.627 90.00 90.00 90.00
Sites, in units of the cell vectors:
Zr 0.500 0.500 0.500
Tc 0.000 0.500 0.000
Re 0.000 0.000 0.000
Zn 0.000 0.000 0.500
Tc 0.500 0.000 0.000

Results
N(E_F), states/eV per cell: 5.171
Space group: P4/mmm (123)
M_tot, μB per cell: 0.000
Crystal system: tetragonal
ΔH_f (0 K), eV/atom: 1.187

***

Here is a geometry-optimized ZrRe3Tc structure from Alexandria via LeMat-Bulk. Energies are from PBEsol.

Lattice parameters (Å, degrees): 4.593 4.593 4.593 90.00 90.00 90.00
Sites, in units of the cell vectors:
Re 0.000 0.500 0.000
Zr 0.500 0.500 0.500
Re 0.500 0.000 0.000
Re 0.000 0.000 0.500
Tc 0.000 0.000 0.000

Results
N(E_F), states/eV per cell: 3.724
Space group: Pm-3m (221)
M_tot, μB per cell: 0.000
Crystal system: cubic
ΔH_f (0 K), eV/atom: 1.560

***

Here is a geometry-optimized ZrReTc2 structure from Alexandria via LeMat-Bulk. Energies are from PBEsol.

Lattice parameters (Å, degrees): 2.763 4.428 5.177 90.00 100.83 90.00
Sites, in units of the cell vectors:
Re 0.261 0.500 0.765
Zr 0.502 0.000 0.495
Tc 0.731 0.500 0.248
Tc 0.006 0.000 0.993

Results
N(E_F), states/eV per cell: 3.656
Space group: Pm (6)
M_tot, μB per cell: 0.000
Crystal system: monoclinic
ΔH_f (0 K), eV/atom: 0.024

***

Here is a geometry-optimized ReTe structure from Alexandria via LeMat-Bulk. Energies are from PBEsol.

Lattice parameters (Å, degrees): 3.086 6.716 6.760 105.06 103.19 90.00
Sites, in units of the cell vectors:
Te 0.038 0.700 0.076
Re 0.996 0.087 0.993
Te 0.316 0.911 0.632
Te 0.251 0.381 0.501
Re 0.654 0.044 0.309
Re 0.578 0.378 0.156

Results
Raw formation energy, eV per atom: 0.50
N(E_F), states/eV per cell: 3.517
Space group: Cm (8)
E above lowest polymorph, eV/atom: 0.039
M_tot, μB per cell: 0.000
Crystal system: monoclinic

***

Here is a geometry-optimized ReTe structure from Alexandria via LeMat-Bulk. Energies are from PBEsol.

Lattice parameters (Å, degrees): 3.118 3.118 4.391 90.00 90.00 118.82
Sites, in units of the cell vectors:
Re 0.000 0.000 0.000
Te 0.500 0.500 0.500

Results
Raw formation energy, eV per atom: 1.31
N(E_F), states/eV per cell: 2.501
Space group: Cmmm (65)
E above lowest polymorph, eV/atom: 0.850
M_tot, μB per cell: 0.001
Crystal system: orthorhombic

***

Here is a geometry-optimized Re2Te structure from Alexandria via LeMat-Bulk. Energies are from PBEsol.

Lattice parameters (Å, degrees): 2.932 4.331 9.470 90.00 98.90 90.00
Sites, in units of the cell vectors:
Re 0.039 0.250 0.077
Re 0.961 0.750 0.923
Re 0.420 0.250 0.840
Te 0.328 0.750 0.656
Te 0.672 0.250 0.344
Re 0.580 0.750 0.160

Results
Raw formation energy, eV per atom: 0.17
N(E_F), states/eV per cell: 3.765
Space group: Cmcm (63)
M_tot, μB per cell: 0.000
Crystal system: orthorhombic

***

Here is a geometry-optimized ReTe structure from Alexandria via LeMat-Bulk. Energies are from PBEsol.

Lattice parameters (Å, degrees): 4.175 4.120 6.599 108.48 90.00 120.44
Sites, in units of the cell vectors:
Te 0.405 0.810 0.206
Re 0.847 0.695 0.546
Te 0.595 0.190 0.794
Re 0.153 0.305 0.454

Results
Raw formation energy, eV per atom: 0.46
N(E_F), states/eV per cell: 2.187
Space group: C2/m (12)
E above lowest polymorph, eV/atom: 0.000
M_tot, μB per cell: 0.000
Crystal system: monoclinic

***

Here is a geometry-optimized TlReTe2 structure from Alexandria via LeMat-Bulk. Energies are from PBEsol.

Lattice parameters (Å, degrees): 3.236 3.236 9.011 90.00 90.00 90.00
Sites, in units of the cell vectors:
Tl 0.500 0.500 0.000
Re 0.500 0.500 0.500
Te 0.000 0.000 0.316
Te 0.000 0.000 0.684

Results
Raw formation energy, eV per atom: 0.27
N(E_F), states/eV per cell: 1.881
Space group: P4/mmm (123)
E above lowest polymorph, eV/atom: 0.032
M_tot, μB per cell: 0.000
Crystal system: tetragonal

***

Here is a geometry-optimized TlReTe2 structure from Alexandria via LeMat-Bulk. Energies are from PBEsol.

Lattice parameters (Å, degrees): 3.255 3.255 9.862 99.50 99.50 90.00
Sites, in units of the cell vectors:
Re 0.302 0.802 0.604
Te 0.911 0.911 0.822
Tl 0.560 0.560 0.120
Te 0.727 0.227 0.454

Results
Raw formation energy, eV per atom: 0.23
N(E_F), states/eV per cell: 1.812
Space group: Imm2 (44)
E above lowest polymorph, eV/atom: 0.000
M_tot, μB per cell: 0.000
Crystal system: orthorhombic

***

Here is a geometry-optimized TlRe2Te structure from Alexandria via LeMat-Bulk. Energies are from PBEsol.

Lattice parameters (Å, degrees): 4.616 4.616 4.616 60.00 60.00 60.00
Sites, in units of the cell vectors:
Re 0.250 0.250 0.250
Te 0.500 0.500 0.500
Re 0.750 0.750 0.750
Tl 0.000 0.000 0.000

Results
Raw formation energy, eV per atom: 1.04
N(E_F), states/eV per cell: 3.319
Space group: Fm-3m (225)
E above lowest polymorph, eV/atom: 0.066
M_tot, μB per cell: 0.000
Crystal system: cubic

***

Here is a geometry-optimized TlRe2Te structure from Alexandria via LeMat-Bulk. Energies are from PBEsol.

Lattice parameters (Å, degrees): 3.139 4.531 5.218 90.00 90.00 90.00
Sites, in units of the cell vectors:
Re 0.000 0.000 0.000
Tl 0.000 0.500 0.500
Te 0.500 0.500 0.000
Re 0.500 0.000 0.500

Results
Raw formation energy, eV per atom: 1.31
N(E_F), states/eV per cell: 5.297
Space group: Pmmm (47)
E above lowest polymorph, eV/atom: 0.342
M_tot, μB per cell: 0.001
Crystal system: orthorhombic

***

Here is a geometry-optimized TlReTe structure from Alexandria via LeMat-Bulk. Energies are from PBEsol.

Lattice parameters (Å, degrees): 3.459 4.610 4.610 120.00 90.00 90.00
Sites, in units of the cell vectors:
Re 0.000 0.000 0.000
Te 0.000 0.333 0.667
Tl 0.500 0.667 0.333

Results
Raw formation energy, eV per atom: 0.94
N(E_F), states/eV per cell: 3.723
Space group: P-6m2 (187)
E above lowest polymorph, eV/atom: 0.420
M_tot, μB per cell: 0.001
Crystal system: hexagonal

***

Here is a geometry-optimized TlReTe3 structure from Alexandria via LeMat-Bulk. Energies are from PBEsol.

Lattice parameters (Å, degrees): 5.592 5.592 5.592 90.00 90.00 90.00
Sites, in units of the cell vectors:
Te 0.000 0.500 0.000
Tl 0.000 0.000 0.000
Te 0.500 0.000 0.000
Re 0.500 0.500 0.500
Te 0.000 0.000 0.500

Results
Raw formation energy, eV per atom: 1.89
N(E_F), states/eV per cell: 5.961
Space group: Pm-3m (221)
M_tot, μB per cell: 4.821
Crystal system: cubic

***

Here is a geometry-optimized TlReTe structure from Alexandria via LeMat-Bulk. Energies are from PBEsol.

Lattice parameters (Å, degrees): 3.348 3.348 6.725 90.00 90.00 120.00
Sites, in units of the cell vectors:
Tl 0.667 0.333 0.303
Re 0.000 0.000 0.979
Te 0.333 0.667 0.717

Results
Raw formation energy, eV per atom: 0.56
N(E_F), states/eV per cell: 1.814
Space group: P3m1 (156)
E above lowest polymorph, eV/atom: 0.039
M_tot, μB per cell: 0.000
Crystal system: trigonal

***

Here is a geometry-optimized TlRe2Te structure from Alexandria via LeMat-Bulk. Energies are from PBEsol.

Lattice parameters (Å, degrees): 3.068 4.558 5.714 100.89 90.00 109.67
Sites, in units of the cell vectors:
Re 0.247 0.495 0.290
Re 0.753 0.505 0.710
Tl 0.500 0.000 0.000
Te 0.000 0.000 0.500

Results
Raw formation energy, eV per atom: 0.97
N(E_F), states/eV per cell: 3.781
Space group: C2/m (12)
E above lowest polymorph, eV/atom: 0.000
M_tot, μB per cell: 0.000
Crystal system: monoclinic

***

Here is a geometry-optimized TlReTe structure from Alexandria via LeMat-Bulk. Energies are from PBEsol.

Lattice parameters (Å, degrees): 3.200 3.200 6.905 103.40 103.40 90.00
Sites, in units of the cell vectors:
Re 0.016 0.016 0.032
Tl 0.358 0.358 0.715
Te 0.626 0.626 0.252

Results
Raw formation energy, eV per atom: 0.52
N(E_F), states/eV per cell: 1.875
Space group: I4mm (107)
E above lowest polymorph, eV/atom: 0.000
M_tot, μB per cell: 0.000
Crystal system: tetragonal

***

Here is a geometry-optimized TlRe2Te structure from Alexandria via LeMat-Bulk. Energies are from PBEsol.

Lattice parameters (Å, degrees): 3.083 5.238 5.510 118.38 106.24 90.00
Sites, in units of the cell vectors:
Re 0.770 0.770 0.540
Re 0.230 0.230 0.460
Te 0.500 0.000 0.000
Tl 0.000 0.500 0.000

Results
Raw formation energy, eV per atom: 1.23
N(E_F), states/eV per cell: 3.557
Space group: Immm (71)
E above lowest polymorph, eV/atom: 0.254
M_tot, μB per cell: 0.000
Crystal system: orthorhombic

***

Here is a geometry-optimized TlReTe2 structure from Alexandria via LeMat-Bulk. Energies are from PBEsol.

Lattice parameters (Å, degrees): 3.324 5.150 6.449 113.53 90.00 90.00
Sites, in units of the cell vectors:
Re 0.500 0.135 0.271
Te 0.000 0.307 0.615
Te 0.500 0.622 0.245
Tl 0.000 0.939 0.878

Results
Raw formation energy, eV per atom: 0.32
N(E_F), states/eV per cell: 2.112
Space group: Amm2 (38)
E above lowest polymorph, eV/atom: 0.083
M_tot, μB per cell: 0.000
Crystal system: orthorhombic

***

Here is a geometry-optimized ReTe2W structure from Alexandria via LeMat-Bulk. Energies are from PBEsol.

Lattice parameters (Å, degrees): 3.137 3.137 8.785 90.00 90.00 118.12
Sites, in units of the cell vectors:
W 0.500 0.500 0.500
Re 0.500 0.500 0.000
Te 0.000 0.000 0.753
Te 0.000 0.000 0.247

Results
Raw formation energy, eV per atom: 1.27
N(E_F), states/eV per cell: 4.727
Space group: Cmmm (65)
E above lowest polymorph, eV/atom: 0.841
M_tot, μB per cell: 0.001
Crystal system: orthorhombic